1.
La3Hg4: optimized geometry, GGA-PBE.

As for the energy above the most stable polymorph in this dataset: 134.6 meV/atom. As for the magnetic moment: 0.85 μB per cell. The total energy comes out at -2.658 eV/atom. The formation energy is -0.374 eV/atom.

It has space group I4/mmm (No. 139), with a = 4.1333 Å, b = 4.1333 Å, c = 24.2566 Å, α = 90.00°, β = 90.00° and γ = 90.00°. Symmetry generates all atoms from La at (0.0000, 0.0000, 0.0000), La at (0.0000, 0.0000, 0.2978), Hg at (0.0000, 0.0000, 0.1395) and Hg at (0.0000, 0.0000, 0.4311).


2.
Co2B2Rh: optimized geometry, GGA-PBE.

As for the energy above the most stable polymorph in this dataset: 239.4 meV/atom. As for the magnetic moment: 0.00 μB per cell. The total energy comes out at -6.870 eV/atom. The formation energy is 0.114 eV/atom.

It has space group I4/mmm (No. 139), with a = 3.5901 Å, b = 3.5901 Å, c = 7.5467 Å, α = 90.00°, β = 90.00° and γ = 90.00°. Symmetry generates all atoms from Co at (0.0000, 0.0000, 0.1468), B at (0.0000, 0.5000, 0.2500) and Rh at (0.0000, 0.0000, 0.5000).


3.
CeSm2Pu: optimized geometry, GGA-PBE.

As for the energy above the most stable polymorph in this dataset: 0.0 meV/atom. As for the magnetic moment: 7.23 μB per cell. The total energy comes out at -7.272 eV/atom. The formation energy is 0.154 eV/atom.

It has space group P4/mmm (No. 123), with a = 4.8446 Å, b = 4.8446 Å, c = 5.2106 Å, α = 90.00°, β = 90.00° and γ = 90.00°. Symmetry generates all atoms from Ce at (0.0000, 0.0000, 0.0000), Sm at (0.0000, 0.5000, 0.5000) and Pu at (0.5000, 0.5000, 0.0000).


4.
AcEr2Ir: optimized geometry, GGA-PBE.

As for the energy above the most stable polymorph in this dataset: 13.5 meV/atom. As for the magnetic moment: 0.00 μB per cell. The total energy comes out at -5.941 eV/atom. The formation energy is -0.417 eV/atom.

It has space group P4/mmm (No. 123), with a = 3.5402 Å, b = 3.5402 Å, c = 9.0756 Å, α = 90.00°, β = 90.00° and γ = 90.00°. Symmetry generates all atoms from Ac at (0.0000, 0.0000, 0.0000), Er at (0.5000, 0.5000, 0.3264) and Ir at (0.0000, 0.0000, 0.5000).


5.
CrGaTc2H: optimized geometry, GGA-PBE.

As for the magnetic moment: 0.89 μB per cell. The total energy comes out at -7.286 eV/atom.

It has space group P4/mmm (No. 123), with a = 3.9704 Å, b = 3.9704 Å, c = 3.7244 Å, α = 90.00°, β = 90.00° and γ = 90.00°. Symmetry generates all atoms from Cr at (0.0000, 0.0000, 0.0000), Ga at (0.5000, 0.5000, 0.0000), Tc at (0.0000, 0.5000, 0.5000) and H at (0.0000, 0.0000, 0.5000).


6.
NdSm3C2: optimized geometry, GGA-PBE.

As for the magnetic moment: 0.52 μB per cell. The total energy comes out at -6.377 eV/atom. The formation energy is -0.148 eV/atom.

It has space group C2/m (No. 12), with a = 16.9215 Å, b = 3.6621 Å, c = 12.6935 Å, α = 90.00°, β = 129.45° and γ = 90.00°. Symmetry generates all atoms from Nd at (0.1421, 0.0000, 0.2006), Sm at (0.1429, 0.0000, 0.7009), Sm at (0.1433, 0.5000, 0.4510), Sm at (0.1443, 0.5000, 0.9522), C at (0.2478, 0.0000, 0.6223) and C at (0.2486, 0.5000, 0.8746).


7.
La2CdBi5: optimized geometry, GGA-PBE.

As for the magnetic moment: 0.00 μB per cell. The total energy comes out at -4.318 eV/atom. The formation energy is -0.546 eV/atom.

It has space group Cmmm (No. 65), with a = 9.3946 Å, b = 10.2812 Å, c = 5.0883 Å, α = 90.00°, β = 90.00° and γ = 90.00°. Symmetry generates all atoms from La at (0.0000, 0.2298, 0.0000), Cd at (0.0000, 0.5000, 0.5000), Bi at (0.0000, 0.0000, 0.5000), Bi at (0.2263, 0.5000, 0.0000) and Bi at (0.2500, 0.2500, 0.5000).


8.
Sc3Ni6As5: optimized geometry, GGA-PBE.

As for the magnetic moment: 0.00 μB per cell. The total energy comes out at -6.248 eV/atom. The formation energy is -0.753 eV/atom.

It has space group Pmmn (No. 59, origin choice 2), with a = 3.8155 Å, b = 11.7052 Å, c = 9.3167 Å, α = 90.00°, β = 90.00° and γ = 90.00°. Symmetry generates all atoms from Sc at (0.2500, 0.0836, 0.2453), Sc at (0.2500, 0.7500, 0.2531), Ni at (0.2500, 0.0675, 0.6062), Ni at (0.2500, 0.2500, 0.4751), Ni at (0.2500, 0.2500, 0.9972), Ni at (0.2500, 0.5820, 0.9990), As at (0.2500, 0.0847, 0.8506), As at (0.2500, 0.6238, 0.5280) and As at (0.2500, 0.7500, 0.8483).